Here is a relaxed structure of SrFe2Co from Alexandria. Energies are from GGA-PBE.

```
SrFe2Co
1.0
2.9955 0.0000 0.0000
0.0000 3.3017 0.0000
0.0000 0.0000 7.0346
Co Fe Sr
1 2 1
direct
0.5000 0.5000 0.7500 Co
0.0000 0.0000 0.9112 Fe
0.0000 0.0000 0.5888 Fe
0.5000 0.5000 0.2500 Sr
```

Properties
E_form (meV per atom): 511
Fermi-level density of states (states/eV/cell): 4.2

=====

Here is a relaxed structure of SrFeCo2 from Alexandria. Energies are from GGA-PBE.

```
SrFeCo2
1.0
4.6252 0.0000 0.0000
0.0000 4.6252 0.0000
2.3126 2.3126 7.9980
Sr Co Fe
2 4 2
direct
0.0000 0.0000 0.0000 Sr
0.7500 0.2500 0.5000 Sr
0.3751 0.1250 0.2500 Co
0.3749 0.6250 0.2500 Co
0.3750 0.6249 0.7500 Co
0.8750 0.6251 0.7500 Co
0.5000 0.5000 0.0000 Fe
0.2500 0.7500 0.5000 Fe
```

Properties
E_form (meV per atom): 552
Fermi-level density of states (states/eV/cell): 5.1
Offset from the most stable computed form (meV/atom): 360

=====

Here is a relaxed structure of SrFeCo2 from Alexandria. Energies are from GGA-PBE.

```
SrFeCo2
1.0
-0.9837 -2.6544 4.5727
3.9153 0.3622 3.6691
-3.7339 2.5300 -2.9293
Co Fe Sr
2 1 1
direct
0.0411 0.0411 0.0000 Co
0.4589 0.4589 0.0000 Co
0.2500 0.7500 0.5000 Fe
0.7500 0.2500 0.5000 Sr
```

Properties
E_form (meV per atom): 716
Fermi-level density of states (states/eV/cell): 4.0
Offset from the most stable computed form (meV/atom): 524

=====

Here is a relaxed structure of SrFeCo2 from Alexandria. Energies are from GGA-PBE.

```
SrFeCo2
1.0
3.8392 0.0000 0.0000
0.0000 3.3666 0.0297
0.0000 1.6231 5.9144
Co Fe Sr
2 1 1
direct
0.0000 0.1458 0.0836 Co
0.5000 0.0491 0.2753 Co
0.0000 0.5087 0.3581 Fe
0.5000 0.7964 0.7830 Sr
```

Properties
E_form (meV per atom): 482
Fermi-level density of states (states/eV/cell): 3.8
Offset from the most stable computed form (meV/atom): 290